La14ErHg after structural relaxation, computed with PBE.

Uncorrected energy in eV per atom: -4.660
Crystal system: orthorhombic
ΔH_f (0 K) in eV/atom: -0.04
Space-group type: Amm2

Unit cell a=7.3023 b=7.3023 c=10.4247 alpha=90.00 beta=90.00 gamma=90.04
Last column: nearest neighbours and their distance in Å.
Positions (direct):
1 La 0.3727 0.6273 0.5000  12 La 3.59-3.74
2 La 0.6209 0.8707 0.2438  10 La 3.58-3.75, 1 Hg 3.59, 1 Er 3.65
3 Er 0.8729 0.1271 0.0000  12 La 3.59-3.72
4 La 0.8834 0.1166 0.5000  12 La 3.53-3.79
5 La 0.6209 0.8707 0.7562  10 La 3.58-3.75, 1 Hg 3.59, 1 Er 3.65
6 La 0.1316 0.8684 0.2321  1 Hg 3.49, 10 La 3.58-3.79, 1 Er 3.60
7 La 0.3664 0.1185 0.5000  12 La 3.53-3.78
8 La 0.1316 0.8684 0.7679  1 Hg 3.49, 10 La 3.58-3.79, 1 Er 3.60
9 La 0.8551 0.6179 0.0000  2 Hg 3.51-3.80, 8 La 3.58-3.68, 2 Er 3.59-3.72
10 La 0.3821 0.1449 0.0000  2 Hg 3.51-3.80, 8 La 3.58-3.68, 2 Er 3.59-3.72
11 La 0.8815 0.6336 0.5000  12 La 3.53-3.78
12 La 0.6236 0.3764 0.2561  10 La 3.61-3.70, 1 Hg 3.70, 1 Er 3.71
13 La 0.1293 0.3791 0.7562  10 La 3.58-3.75, 1 Hg 3.59, 1 Er 3.65
14 La 0.1293 0.3791 0.2438  10 La 3.58-3.75, 1 Hg 3.59, 1 Er 3.65
15 Hg 0.3751 0.6249 0.0000  12 La 3.49-3.80
16 La 0.6236 0.3764 0.7439  10 La 3.61-3.70, 1 Hg 3.70, 1 Er 3.71